A plane-wave DFT calculation with PBE-GGA was carried out for a relaxed structure of SrSm2Al.

- ΔH_f (0 K) (eV/atom) = 0.115
- calculated density (g/cm³) = 4.9
- final energy (eV for the cell shown) = -14.40
- symmetry = R-3m (166)
- density of states at the Fermi level (states/eV per cell) = 5.23

Lattice parameters (Å, degrees): 3.7208 3.7208 11.9576 81.05 81.05 60.00
Closest atoms and distances in Å follow each position.
Sites, in units of the cell vectors:
Sr: 0.0000 0.0000 0.0000  2 Sm 3.69, 6 Sr 3.72
Al: 0.5000 0.5000 0.5000  6 Sm 3.07
Sm: 0.1045 0.1045 0.6865  3 Al 3.07
Sm: 0.8955 0.8955 0.3135  3 Al 3.07